A plane-wave DFT calculation with GGA-PBE was carried out for crystalline YThNiRu at its relaxed geometry.

Structure (POSCAR):
```
YThNiRu
1.0
0.000 3.473 3.473
3.473 0.000 3.473
3.473 3.473 0.000
Y Th Ni Ru
1 1 1 1
Cartesian
0.000 0.000 0.000
3.473 3.473 3.473
1.737 1.737 1.737
5.210 5.210 5.210
```

Polymorph energy (0 for the lowest one) in meV per atom: 112
Formation energy from the elements in eV/atom: -0.3631
Space-group type: F-43m (216)
Crystal system: cubic
Total energy in eV per atom: -7.598